[1]
VASP calculation (PBE-GGA) on a relaxed structure of Pm2Zn3Cd.

- ρ: 7.09 g/cm3
- ΔH_f (0 K): -0.273 eV per atom
- Space group: No. 44
- Distance to the lowest polymorph of the same formula: 57 meV per atom
- E: -2.65 eV/atom
- D(E_F): 6.75 states/eV/cell
- M_tot: 0.00 μB per formula unit

Unit cell a=8.5946 b=8.5946 c=8.5946 alpha=155.04 beta=148.39 gamma=40.69
Last column: nearest neighbours and their distance in Å.
Atoms (fractional coordinates):
Pm: 0.0000 0.0000 0.0000  8 Zn 3.19-3.57, 4 Cd 3.37
Pm: 0.7703 0.2703 0.5000  10 Zn 3.15-3.49, 2 Cd 3.35
Zn: 0.1771 0.6771 0.5000  1 Zn 2.51, 2 Cd 2.67
Zn: 0.3329 0.8329 0.5000  3 Zn 2.44-2.51
Zn: 0.4310 0.4310 0.0000  2 Zn 2.44, 1 Cd 2.68
Cd: 0.5973 0.5973 0.0000  3 Zn 2.67-2.68

***

[2]
VASP calculation (PBE-GGA) on a relaxed structure of CoSiAs2.

- ρ: 6.11 g/cm3
- Space group: No. 12
- E: -5.19 eV/atom
- D(E_F): 4.40 states/eV/cell
- M_tot: 0.28 μB per formula unit

Unit cell a=4.3775 b=4.3775 c=4.3438 alpha=110.09 beta=110.09 gamma=107.90
Last column: nearest neighbours and their distance in Å.
Atoms (fractional coordinates):
Co: 0.0000 0.0000 0.0000  4 As 2.50, 2 Si 2.58
Si: 0.5000 0.5000 0.0000  4 As 2.50, 2 Co 2.58
As: 0.0000 0.5000 0.5000  2 Co 2.50, 2 Si 2.50, 2 As 2.58
As: 0.5000 0.0000 0.5000  2 Co 2.50, 2 Si 2.50, 2 As 2.58

***

[3]
VASP calculation (PBE-GGA) on a relaxed structure of SmS6Br2.

- ρ: 2.78 g/cm3
- Space group: No. 2
- E: -4.19 eV/atom
- D(E_F): 2.24 states/eV/cell
- M_tot: 0.90 μB per formula unit

Unit cell a=4.3067 b=8.4056 c=9.1314 alpha=114.48 beta=93.06 gamma=92.00
Last column: nearest neighbours and their distance in Å.
Atoms (fractional coordinates):
Sm: 0.0000 0.0000 0.0000  2 S 2.84, 4 Br 2.88-2.91
S: 0.0950 0.7151 0.4565  1 S 1.98
S: 0.0967 0.5017 0.7205  2 S 1.98-2.08
S: 0.1199 0.2915 0.3022  1 S 2.08
S: 0.8801 0.7085 0.6978  1 S 2.08
S: 0.9033 0.4983 0.2795  2 S 1.98-2.08
S: 0.9050 0.2849 0.5435  1 S 1.98
Br: 0.4978 0.8529 0.1165  2 Sm 2.88-2.91
Br: 0.5022 0.1471 0.8835  2 Sm 2.88-2.91

***

[4]
VASP calculation (PBE-GGA) on a relaxed structure of UNb2B6.

- ρ: 8.79 g/cm3
- ΔH_f (0 K): -0.584 eV per atom
- Space group: No. 191
- E: -8.53 eV/atom
- D(E_F): 4.09 states/eV/cell
- M_tot: 0.19 μB per formula unit

Unit cell a=5.4245 b=5.4245 c=3.6215 alpha=90.00 beta=90.00 gamma=120.00
Last column: nearest neighbours and their distance in Å.
Atoms (fractional coordinates):
U: 0.0000 0.0000 0.0000  12 B 2.57
Nb: 0.3333 0.6667 0.0000  12 B 2.55
Nb: 0.6667 0.3333 0.0000  12 B 2.55
B: 0.0000 0.3362 0.5000  3 B 1.78-1.82
B: 0.0000 0.6639 0.5000  3 B 1.78-1.82
B: 0.3362 0.0000 0.5000  3 B 1.78-1.82
B: 0.3362 0.3362 0.5000  3 B 1.78-1.82
B: 0.6639 0.0000 0.5000  3 B 1.78-1.82
B: 0.6639 0.6639 0.5000  3 B 1.78-1.82

***

[5]
VASP calculation (PBE-GGA) on a relaxed structure of TaHgCl.

- ρ: 9.74 g/cm3
- Space group: No. 42
- Distance to the lowest polymorph of the same formula: 214 meV per atom
- E: -4.64 eV/atom
- D(E_F): 1.85 states/eV/cell
- M_tot: 0.00 μB per formula unit

Unit cell a=8.8419 b=8.5196 c=3.1877 alpha=85.18 beta=73.77 gamma=21.05
Last column: nearest neighbours and their distance in Å.
Atoms (fractional coordinates):
Ta: 0.0000 0.0000 0.0000  2 Cl 2.46
Hg: 0.6508 0.6508 0.3492  2 Ta 2.95, 6 Hg 3.02-3.19
Cl: 0.3839 0.3839 0.6161  2 Ta 2.46

***

[6]
VASP calculation (PBE-GGA) on a relaxed structure of Nd6Te3As2Pb.

- ρ: 7.14 g/cm3
- Space group: No. 12
- E: -5.61 eV/atom
- D(E_F): 5.09 states/eV/cell
- M_tot: 0.00 μB per formula unit

Unit cell a=9.9729 b=9.9729 c=8.9663 alpha=103.78 beta=103.78 gamma=25.57
Last column: nearest neighbours and their distance in Å.
Atoms (fractional coordinates):
Nd: 0.0082 0.0082 0.2516  1 As 3.02, 2 Pb 3.13, 3 Te 3.17-3.26
Nd: 0.3263 0.3263 0.4317  3 As 2.98-3.02, 3 Te 3.27-3.28
Nd: 0.3326 0.3326 0.8949  2 As 3.02, 1 Pb 3.16, 3 Te 3.18-3.29
Nd: 0.6674 0.6674 0.1051  2 As 3.02, 1 Pb 3.16, 3 Te 3.18-3.29
Nd: 0.6737 0.6737 0.5683  3 As 2.98-3.02, 3 Te 3.27-3.28
Nd: 0.9918 0.9918 0.7484  1 As 3.02, 2 Pb 3.13, 3 Te 3.17-3.26
Te: 0.1643 0.1643 0.8321  6 Nd 3.18-3.29
Te: 0.5000 0.5000 0.5000  6 Nd 3.17-3.28
Te: 0.8357 0.8357 0.1679  6 Nd 3.18-3.29
As: 0.1683 0.1683 0.3359  6 Nd 2.98-3.02
As: 0.8317 0.8317 0.6641  6 Nd 2.98-3.02
Pb: 0.5000 0.5000 0.0000  6 Nd 3.13-3.16

***

[7]
VASP calculation (PBE-GGA) on a relaxed structure of TbGa12Ir7.

- ρ: 9.98 g/cm3
- ΔH_f (0 K): -0.062 eV per atom
- Space group: No. 204
- E: -5.21 eV/atom
- D(E_F): 11.38 states/eV/cell
- M_tot: 0.00 μB per formula unit

Unit cell a=7.9681 b=7.9681 c=7.9681 alpha=109.47 beta=109.47 gamma=109.47
Last column: nearest neighbours and their distance in Å.
Atoms (fractional coordinates):
Tb: 0.0000 0.0000 0.0000  12 Ga 3.69, 8 Ir 3.98
Ga: 0.1164 0.7808 0.3356  3 Ir 2.45-2.52
Ga: 0.2192 0.3356 0.5548  3 Ir 2.45-2.52
Ga: 0.2192 0.6644 0.8836  3 Ir 2.45-2.52
Ga: 0.3356 0.1164 0.7808  3 Ir 2.45-2.52
Ga: 0.3356 0.5548 0.2192  3 Ir 2.45-2.52
Ga: 0.4452 0.7808 0.6644  3 Ir 2.45-2.52
Ga: 0.5548 0.2192 0.3356  3 Ir 2.45-2.52
Ga: 0.6644 0.4452 0.7808  3 Ir 2.45-2.52
Ga: 0.6644 0.8836 0.2192  3 Ir 2.45-2.52
Ga: 0.7808 0.3356 0.1164  3 Ir 2.45-2.52
Ga: 0.7808 0.6644 0.4452  3 Ir 2.45-2.52
Ga: 0.8836 0.2192 0.6644  3 Ir 2.45-2.52
Ir: 0.0000 0.0000 0.5000  6 Ga 2.45
Ir: 0.0000 0.5000 0.0000  6 Ga 2.45
Ir: 0.0000 0.5000 0.5000  4 Ga 2.52
Ir: 0.5000 0.0000 0.0000  6 Ga 2.45
Ir: 0.5000 0.0000 0.5000  4 Ga 2.52
Ir: 0.5000 0.5000 0.0000  4 Ga 2.52
Ir: 0.5000 0.5000 0.5000  6 Ga 2.45

***

[8]
VASP calculation (PBE-GGA) on a relaxed structure of NaZn2GeO4.

- ρ: 4.50 g/cm3
- Space group: No. 121
- E: -4.97 eV/atom
- D(E_F): 0.43 states/eV/cell
- M_tot: 0.00 μB per formula unit

Unit cell a=5.5700 b=5.5700 c=5.5700 alpha=126.83 beta=126.83 gamma=78.53
Last column: nearest neighbours and their distance in Å.
Atoms (fractional coordinates):
Na: 0.0000 0.0000 0.0000  4 O 2.33
Zn: 0.2500 0.7500 0.5000  4 O 2.07
Zn: 0.7500 0.2500 0.5000  4 O 2.07
Ge: 0.5000 0.5000 0.0000  4 O 1.84
O: 0.1636 0.5810 0.0000  1 Ge 1.84
O: 0.4190 0.4190 0.5827  1 Ge 1.84
O: 0.5810 0.1636 0.0000  1 Ge 1.84
O: 0.8364 0.8364 0.4173  1 Ge 1.84

***

[9]
VASP calculation (PBE-GGA) on a relaxed structure of Sn3WC.

- ρ: 6.31 g/cm3
- ΔH_f (0 K): 1.664 eV per atom
- Space group: No. 221
- Distance to the lowest polymorph of the same formula: 196 meV per atom
- E: -5.17 eV/atom
- D(E_F): 8.59 states/eV/cell
- M_tot: 2.68 μB per formula unit

Unit cell a=5.2560 b=5.2560 c=5.2560 alpha=90.00 beta=90.00 gamma=90.00
Last column: nearest neighbours and their distance in Å.
Atoms (fractional coordinates):
Sn: 0.0000 0.0000 0.5000  2 W 2.63
Sn: 0.0000 0.5000 0.0000  2 W 2.63
Sn: 0.5000 0.0000 0.0000  2 W 2.63
W: 0.0000 0.0000 0.0000  6 Sn 2.63
C: 0.5000 0.5000 0.5000  12 Sn 3.72

***

[10]
VASP calculation (PBE-GGA) on a relaxed structure of LuVIr2.

- ρ: 15.34 g/cm3
- ΔH_f (0 K): -0.470 eV per atom
- Space group: No. 123
- Distance to the lowest polymorph of the same formula: 144 meV per atom
- E: -8.31 eV/atom
- D(E_F): 5.32 states/eV/cell
- M_tot: 1.57 μB per formula unit

Unit cell a=4.2894 b=4.2894 c=3.5913 alpha=90.00 beta=90.00 gamma=90.00
Last column: nearest neighbours and their distance in Å.
Atoms (fractional coordinates):
Lu: 0.0000 0.0000 0.0000  8 Ir 2.80, 4 V 3.03
V: 0.5000 0.5000 0.0000  8 Ir 2.80, 4 Lu 3.03
Ir: 0.0000 0.5000 0.5000  4 Lu 2.80, 4 V 2.80, 4 Ir 3.03
Ir: 0.5000 0.0000 0.5000  4 Lu 2.80, 4 V 2.80, 4 Ir 3.03

***

[11]
VASP calculation (PBE-GGA) on a relaxed structure of Rb2ThBiS4.

- ρ: 4.78 g/cm3
- Space group: No. 10
- E: -4.96 eV/atom
- D(E_F): 0.65 states/eV/cell
- M_tot: 1.00 μB per formula unit

Unit cell a=8.1942 b=4.1915 c=8.2047 alpha=90.00 beta=114.16 gamma=90.00
Last column: nearest neighbours and their distance in Å.
Atoms (fractional coordinates):
Rb: 0.0000 0.0000 0.0000  6 S 3.25-3.39
Rb: 0.5000 0.5000 0.0000  4 S 3.36
Th: 0.0000 0.5000 0.5000  6 S 2.79-2.85
Bi: 0.5000 0.0000 0.5000  4 S 2.87
S: 0.1905 0.0000 0.7215  2 Th 2.79
S: 0.2458 0.5000 0.3355  1 Th 2.85, 2 Bi 2.87
S: 0.7542 0.5000 0.6645  1 Th 2.85, 2 Bi 2.87
S: 0.8095 0.0000 0.2785  2 Th 2.79

***

[12]
VASP calculation (PBE-GGA) on a relaxed structure of SrReRu2.

- ρ: 11.25 g/cm3
- ΔH_f (0 K): 1.106 eV per atom
- Space group: No. 47
- Distance to the lowest polymorph of the same formula: 667 meV per atom
- E: -7.06 eV/atom
- D(E_F): 5.67 states/eV/cell
- M_tot: 0.01 μB per formula unit

Unit cell a=2.9171 b=4.6918 c=5.1326 alpha=90.00 beta=90.00 gamma=90.00
Last column: nearest neighbours and their distance in Å.
Atoms (fractional coordinates):
Sr: 0.0000 0.0000 0.0000  4 Ru 2.76, 2 Sr 2.92, 4 Re 2.95
Re: 0.5000 0.0000 0.5000  4 Ru 2.76, 2 Re 2.92, 4 Sr 2.95
Ru: 0.0000 0.5000 0.5000  4 Re 2.76, 6 Ru 2.92-2.95
Ru: 0.5000 0.5000 0.0000  4 Sr 2.76, 6 Ru 2.92-2.95

***

[13]
VASP calculation (PBE-GGA) on a relaxed structure of ZrCd2InAu.

- ρ: 7.59 g/cm3
- ΔH_f (0 K): 0.750 eV per atom
- Space group: No. 123
- Distance to the lowest polymorph of the same formula: 0 meV per atom
- E: -2.53 eV/atom
- D(E_F): 3.57 states/eV/cell
- M_tot: 0.96 μB per formula unit

Unit cell a=5.2175 b=5.2175 c=5.0463 alpha=90.00 beta=90.00 gamma=90.00
Last column: nearest neighbours and their distance in Å.
Atoms (fractional coordinates):
Zr: 0.0000 0.0000 0.0000  8 Cd 3.63, 4 Au 3.69
Cd: 0.0000 0.5000 0.5000  2 In 2.61
Cd: 0.5000 0.0000 0.5000  2 In 2.61
In: 0.5000 0.5000 0.5000  2 Au 2.52, 4 Cd 2.61
Au: 0.5000 0.5000 0.0000  2 In 2.52